Computed, not measured: an optimized crystal structure of Li2Mn2P4H3O16 at the GGA-PBEsol level of DFT.

Values from the calculation:
V: 273 Å³ per cell
space-group type: P1, No. 1
total DFT energy (no corrections): -7.13 eV per atom

```
27
Lattice="4.781 0.000 0.000 1.880 7.048 0.000 0.069 0.546 8.089" Properties=species:S:1:pos:R:3 pbc="T T T"
Li 0.000 0.000 0.000
Li 2.367 5.438 5.781
Mn 2.079 6.257 2.843
Mn 3.657 3.062 7.000
P 1.391 1.256 5.827
P 2.520 1.075 1.661
P 4.623 4.487 4.131
P 5.814 4.392 0.020
H 1.360 2.808 2.621
H 4.660 6.480 6.823
H 5.129 1.989 4.013
O 1.473 4.985 1.331
O 0.753 1.038 4.424
O 2.174 4.142 7.309
O 1.223 0.228 1.533
O 2.228 2.502 2.152
O 3.471 6.919 6.450
O 2.689 2.068 5.696
O 3.592 5.308 3.364
O 3.147 1.203 0.236
O 4.089 4.276 5.586
O 3.536 0.393 2.575
O 4.538 3.540 0.171
O 5.663 6.153 7.122
O 4.935 3.156 3.447
O 5.923 5.348 4.257
O 5.169 1.988 6.758
```


Computed, not measured: an optimized crystal structure of TeIrN2 at the GGA-PBEsol level of DFT.

Values from the calculation:
V: 166 Å³ per cell
space-group type: R-3m, No. 166
total DFT energy (no corrections): -7.00 eV per atom
formation energy without anion corrections: 0.599 eV per atom

```
12
Lattice="3.191 0.000 0.000 -1.596 2.764 0.000 0.000 0.000 18.853" Properties=species:S:1:pos:R:3 pbc="T T T"
Te 0.000 0.000 0.000
Te 0.000 1.842 12.569
Te 1.596 0.921 6.284
Ir 0.000 0.000 9.427
Ir 0.000 1.842 3.142
Ir 1.596 0.921 15.711
N 0.000 0.000 2.221
N 0.000 0.000 16.632
N 0.000 1.842 10.348
N 0.000 1.842 14.790
N 1.596 0.921 4.064
N 1.596 0.921 8.505
```


Computed, not measured: an optimized crystal structure of ErTmRu2 at the GGA-PBEsol level of DFT.

Values from the calculation:
V: 289 Å³ per cell
space-group type: Fm-3m, No. 225
total DFT energy (no corrections): -7.89 eV per atom
ΔE_f: -0.348 eV/atom

```
16
Lattice="6.613 0.000 0.000 0.000 6.613 0.000 0.000 0.000 6.613" Properties=species:S:1:pos:R:3 pbc="T T T"
Er 0.000 0.000 0.000
Er 0.000 3.307 3.307
Er 3.307 0.000 3.307
Er 3.307 3.307 0.000
Tm 0.000 0.000 3.307
Tm 0.000 3.307 0.000
Tm 3.307 0.000 0.000
Tm 3.307 3.307 3.307
Ru 1.653 1.653 1.653
Ru 1.653 1.653 4.960
Ru 1.653 4.960 1.653
Ru 1.653 4.960 4.960
Ru 4.960 1.653 1.653
Ru 4.960 1.653 4.960
Ru 4.960 4.960 1.653
Ru 4.960 4.960 4.960
```


Computed, not measured: an optimized crystal structure of LaInPb2 at the GGA-PBEsol level of DFT.

Values from the calculation:
V: 114 Å³ per cell
space-group type: P4mm, No. 99
total DFT energy (no corrections): -4.38 eV per atom
ΔE_f: -0.294 eV/atom

```
4
Lattice="4.045 0.000 0.000 0.000 4.045 0.000 0.000 0.000 6.997" Properties=species:S:1:pos:R:3 pbc="T T T"
La 0.000 0.000 0.000
In 2.022 2.022 5.101
Pb 0.000 0.000 3.550
Pb 2.022 2.022 1.927
```


Computed, not measured: an optimized crystal structure of LaFePt2 at the GGA-PBEsol level of DFT.

Values from the calculation:
offset from the most stable computed form: 267.5 meV per atom
V: 143 Å³ per cell
space-group type: Imm2, No. 44
total DFT energy (no corrections): -7.37 eV per atom
ΔE_f: -0.311 eV/atom

```
8
Lattice="4.082 0.000 0.000 0.000 4.093 0.000 0.000 0.000 8.556" Properties=species:S:1:pos:R:3 pbc="T T T"
La 0.000 0.000 0.000
La 2.041 2.046 4.278
Fe 0.000 2.046 6.418
Fe 2.041 0.000 2.140
Pt 0.000 0.000 4.275
Pt 0.000 2.046 2.136
Pt 2.041 0.000 6.414
Pt 2.041 2.046 8.553
```


Computed, not measured: an optimized crystal structure of BaMnCl at the GGA-PBEsol level of DFT.

Values from the calculation:
offset from the most stable computed form: 0.0 meV per atom
V: 81 Å³ per cell
space-group type: P-6m2, No. 187
total DFT energy (no corrections): -4.78 eV per atom
formation energy without anion corrections: -0.140 eV per atom

```
3
Lattice="4.922 0.000 0.000 -2.461 4.263 0.000 0.000 0.000 3.875" Properties=species:S:1:pos:R:3 pbc="T T T"
Ba 0.000 0.000 0.000
Mn 2.461 1.421 1.937
Cl 0.000 2.842 1.937
```


Computed, not measured: an optimized crystal structure of Mg2CdNi at the GGA-PBEsol level of DFT.

Values from the calculation:
V: 210 Å³ per cell
space-group type: R-3m, No. 166
total DFT energy (no corrections): -2.66 eV per atom
ΔE_f: 0.039 eV/atom

```
12
Lattice="2.983 0.000 0.000 -1.491 2.583 0.000 0.000 0.000 27.313" Properties=species:S:1:pos:R:3 pbc="T T T"
Mg 0.000 0.000 6.481
Mg 0.000 0.000 20.832
Mg 0.000 1.722 11.728
Mg 0.000 1.722 24.689
Mg 1.491 0.861 2.623
Mg 1.491 0.861 15.585
Cd 0.000 0.000 0.000
Cd 0.000 1.722 18.209
Cd 1.491 0.861 9.104
Ni 0.000 0.000 13.656
Ni 0.000 1.722 4.552
Ni 1.491 0.861 22.761
```


Computed, not measured: an optimized crystal structure of ZnCd2Br at the GGA-PBEsol level of DFT.

Values from the calculation:
offset from the most stable computed form: 305.8 meV per atom
V: 375 Å³ per cell
space-group type: Fm-3m, No. 225
total DFT energy (no corrections): -1.27 eV per atom
formation energy without anion corrections: 0.195 eV per atom

```
16
Lattice="7.212 0.000 0.000 0.000 7.212 0.000 0.000 0.000 7.212" Properties=species:S:1:pos:R:3 pbc="T T T"
Zn 0.000 0.000 0.000
Zn 0.000 3.606 3.606
Zn 3.606 0.000 3.606
Zn 3.606 3.606 0.000
Cd 1.803 1.803 1.803
Cd 1.803 1.803 5.409
Cd 1.803 5.409 1.803
Cd 1.803 5.409 5.409
Cd 5.409 1.803 1.803
Cd 5.409 1.803 5.409
Cd 5.409 5.409 1.803
Cd 5.409 5.409 5.409
Br 0.000 0.000 3.606
Br 0.000 3.606 0.000
Br 3.606 0.000 0.000
Br 3.606 3.606 3.606
```


Computed, not measured: an optimized crystal structure of Zr2CoHg at the GGA-PBEsol level of DFT.

Values from the calculation:
V: 72 Å³ per cell
space-group type: P4/mmm, No. 123
total DFT energy (no corrections): -6.87 eV per atom
ΔE_f: -0.254 eV/atom

```
4
Lattice="3.114 0.000 0.000 0.000 3.114 0.000 0.000 0.000 7.434" Properties=species:S:1:pos:R:3 pbc="T T T"
Zr 0.000 0.000 1.567
Zr 0.000 0.000 5.867
Co 1.557 1.557 0.000
Hg 1.557 1.557 3.717
```


Computed, not measured: an optimized crystal structure of La4Si4I3 at the GGA-PBEsol level of DFT.

Values from the calculation:
V: 629 Å³ per cell
space-group type: C2/m, No. 12
total DFT energy (no corrections): -5.62 eV per atom
formation energy without anion corrections: -1.102 eV per atom

```
22
Lattice="12.120 -2.102 0.000 12.120 2.102 0.000 -1.651 0.000 12.339" Properties=species:S:1:pos:R:3 pbc="T T T"
La -0.189 0.000 2.051
La 2.203 0.000 8.737
La 3.481 0.000 0.299
La 9.399 0.000 6.851
La 13.190 0.000 5.489
La 19.107 0.000 12.041
La 20.385 0.000 3.602
La 22.778 0.000 10.288
Si -0.411 0.000 7.288
Si 9.546 0.000 1.731
Si 9.268 0.000 12.136
Si 10.545 0.000 3.925
Si 12.044 0.000 8.415
Si 13.321 0.000 0.204
Si 13.043 0.000 10.608
Si 23.000 0.000 5.051
I 2.733 0.000 3.553
I 4.779 0.000 10.735
I 6.540 0.000 5.286
I 16.049 0.000 7.053
I 17.809 0.000 1.605
I 19.856 0.000 8.786
```


Computed, not measured: an optimized crystal structure of ScCoRe2 at the GGA-PBEsol level of DFT.

Values from the calculation:
offset from the most stable computed form: 450.7 meV per atom
V: 214 Å³ per cell
space-group type: R-3m, No. 166
total DFT energy (no corrections): -9.84 eV per atom
ΔE_f: 0.415 eV/atom

```
12
Lattice="4.224 0.000 0.000 -2.112 3.658 0.000 0.000 0.000 13.824" Properties=species:S:1:pos:R:3 pbc="T T T"
Sc 0.000 0.000 0.000
Sc 0.000 2.438 9.216
Sc 2.112 1.219 4.608
Co 0.000 0.000 6.912
Co 0.000 2.438 2.304
Co 2.112 1.219 11.520
Re 0.000 0.000 2.662
Re 0.000 0.000 11.162
Re 0.000 2.438 6.554
Re 0.000 2.438 11.878
Re 2.112 1.219 1.946
Re 2.112 1.219 7.270
```


Computed, not measured: an optimized crystal structure of Y2TcBr at the GGA-PBEsol level of DFT.

Values from the calculation:
offset from the most stable computed form: 591.9 meV per atom
V: 171 Å³ per cell
space-group type: I-4m2, No. 119
total DFT energy (no corrections): -6.69 eV per atom
formation energy without anion corrections: 0.005 eV per atom

```
8
Lattice="3.988 0.000 0.000 0.000 3.988 0.000 0.000 0.000 10.752" Properties=species:S:1:pos:R:3 pbc="T T T"
Y 0.000 0.000 0.000
Y 0.000 1.994 2.688
Y 1.994 0.000 8.064
Y 1.994 1.994 5.376
Tc 0.000 1.994 8.064
Tc 1.994 0.000 2.688
Br 0.000 0.000 5.376
Br 1.994 1.994 0.000
```